The following is a DFT calculation (PBE) of crystalline SiH3I at its relaxed geometry.

Computed properties:
ΔE to the lowest computed polymorph = 0.0 kJ/mol of formula units

```
20
Lattice="4.6372 0.0000 0.0000 0.0000 8.4003 0.0000 -2.4029 0.0000 10.2423" Properties=species:S:1:pos:R:3 pbc="T T T"
Si -0.4372 0.5784 2.9521
Si -1.6387 3.6218 8.0733
Si 3.8729 4.7785 2.1691
Si 2.6715 7.8220 7.2902
H -1.1396 0.3189 6.4399
H 0.0618 3.8813 1.3187
H 0.0535 5.5522 3.1400
H -1.1479 7.0483 8.2611
H -0.5052 4.3337 7.4271
H 0.6962 8.2668 2.3060
H 1.5380 0.1336 7.9363
H 2.7395 4.0666 2.8152
H 3.3822 1.3521 1.9812
H 2.1807 2.8481 7.1023
H 2.1724 4.5190 8.9236
H 3.3739 8.0815 3.8024
I -0.6082 1.9440 9.5958
I 0.5933 2.2562 4.4746
I 1.6410 6.1442 5.7677
I 2.8424 6.4563 0.6466
```



The following is a DFT calculation (PBE) of crystalline La2YAl12Co3 at its relaxed geometry.

Computed properties:
formation enthalpy at 0 K = -0.02 eV/atom

```
18
Lattice="4.2259 2.4398 6.3216 -4.2259 2.4398 6.3216 0.0000 -4.8797 6.3216" Properties=species:S:1:pos:R:3 pbc="T T T"
La 0.0000 0.0000 1.5742
La 0.0000 0.0000 17.3905
Y 0.0000 0.0000 9.4823
Al -2.6795 -1.5470 8.5241
Al 0.0000 -1.7962 6.5908
Al -1.5555 0.8981 6.5908
Al 0.0000 -3.0940 10.4406
Al -2.6795 1.5470 10.4406
Al -1.5555 -0.8981 12.3739
Al 1.5555 0.8981 6.5908
Al 2.6795 -1.5470 8.5241
Al 0.0000 3.0940 8.5241
Al 1.5555 -0.8981 12.3739
Al 0.0000 1.7962 12.3739
Al 2.6795 1.5470 10.4406
Co -2.1130 -1.2199 6.3216
Co -2.1130 1.2199 12.6431
Co 0.0000 2.4398 6.3216
```



The following is a DFT calculation (PBE) of crystalline LiLuCuNi at its relaxed geometry.

Computed properties:
formation enthalpy at 0 K = -0.14 eV/atom

```
4
Lattice="0.0000 3.1798 3.1798 3.1798 0.0000 3.1798 3.1798 3.1798 0.0000" Properties=species:S:1:pos:R:3 pbc="T T T"
Li 0.0000 0.0000 0.0000
Lu 3.1798 3.1798 3.1798
Cu 1.5899 1.5899 1.5899
Ni 4.7697 4.7697 4.7697
```



The following is a DFT calculation (PBE) of crystalline Na2GaSn5 at its relaxed geometry.

Computed properties:
formation enthalpy at 0 K = -0.09 eV/atom

```
8
Lattice="5.8280 -3.2472 0.0000 5.8280 3.2472 0.0000 -3.4974 0.0000 5.4720" Properties=species:S:1:pos:R:3 pbc="T T T"
Na 0.0000 0.0000 0.0000
Na 4.0891 0.0000 2.7206
Ga 2.3311 0.0000 5.4536
Sn 5.2462 -1.6217 5.4656
Sn 1.1750 1.6248 2.7308
Sn -1.7359 0.0000 2.7423
Sn 5.2462 1.6217 5.4656
Sn 1.1750 -1.6248 2.7308
```



The following is a DFT calculation (PBE) of crystalline CaTeBr4 at its relaxed geometry.

Computed properties:
E_form (uncorrected) = -0.07 eV per atom

```
6
Lattice="0.0000 4.4814 4.4814 4.4814 0.0000 4.4814 4.4814 4.4814 0.0000" Properties=species:S:1:pos:R:3 pbc="T T T"
Ca 0.0000 0.0000 0.0000
Te 6.7221 6.7221 6.7221
Br 3.3602 3.3602 3.3602
Br 5.6026 5.6026 3.3602
Br 5.6026 3.3602 5.6026
Br 3.3602 5.6026 5.6026
```



The following is a DFT calculation (PBE) of crystalline BaMg2HgPb2 at its relaxed geometry.

Computed properties:
formation enthalpy at 0 K = -0.16 eV/atom

```
12
Lattice="8.0058 0.0000 0.0000 0.0000 9.0974 0.0000 0.0000 0.0000 5.4355" Properties=species:S:1:pos:R:3 pbc="T T T"
Ba 0.0000 0.0000 0.0000
Ba 4.0029 4.5487 2.7177
Mg 1.5237 1.6832 2.7177
Mg 2.4792 6.2319 0.0000
Mg 5.5266 2.8655 0.0000
Mg 6.4821 7.4142 2.7177
Hg 0.0000 4.5487 0.0000
Hg 4.0029 0.0000 2.7177
Pb 1.6164 7.2885 2.7177
Pb 2.3865 2.7398 0.0000
Pb 5.6193 6.3576 0.0000
Pb 6.3894 1.8089 2.7177
```



The following is a DFT calculation (PBE) of crystalline Na2PaAlS5 at its relaxed geometry.

Computed properties:
E_form (uncorrected) = -1.31 eV per atom

```
18
Lattice="1.9896 -8.6277 0.0000 1.9896 8.6277 0.0000 0.0000 0.0000 13.4001" Properties=species:S:1:pos:R:3 pbc="T T T"
Na 1.9896 7.3295 6.7000
Na 1.9896 7.0062 2.6535
Na 1.9896 -7.0062 9.3535
Na 1.9896 -7.3295 0.0000
Pa 1.9896 4.7103 11.7838
Pa 1.9896 -4.7103 5.0838
Al 1.9896 1.3398 3.4704
Al 1.9896 -1.3398 10.1705
S 1.9896 7.4857 11.4761
S 1.9896 3.7704 6.7752
S 1.9896 3.6456 3.2228
S 1.9896 2.2426 11.4617
S 1.9896 0.1567 1.6664
S 1.9896 -0.1567 8.3664
S 1.9896 -2.2426 4.7617
S 1.9896 -3.6456 9.9228
S 1.9896 -3.7704 0.0751
S 1.9896 -7.4857 4.7761
```



The following is a DFT calculation (PBE) of crystalline NaTaBe2W at its relaxed geometry.

Computed properties:
formation enthalpy at 0 K = 2.44 eV/atom

```
5
Lattice="4.3316 0.0000 0.0000 0.0000 4.3316 0.0000 0.0000 0.0000 4.6673" Properties=species:S:1:pos:R:3 pbc="T T T"
Na 0.0000 0.0000 0.0000
Ta 0.0000 0.0000 2.3337
Be 0.0000 2.1658 2.3337
Be 2.1658 0.0000 2.3337
W 2.1658 2.1658 0.0000
```



The following is a DFT calculation (PBE) of crystalline Nd3YTl3Se8 at its relaxed geometry.

Computed properties:
E_form (uncorrected) = -1.38 eV per atom

```
15
Lattice="4.2835 2.4731 7.6042 -4.2835 2.4731 7.6042 0.0000 -4.9462 7.6042" Properties=species:S:1:pos:R:3 pbc="T T T"
Nd -2.1418 -1.2365 7.6042
Nd -2.1418 1.2365 15.2084
Nd 0.0000 2.4731 7.6042
Y 0.0000 0.0000 0.0000
Tl -4.2835 0.0000 11.4063
Tl -2.1418 1.2365 3.8021
Tl 2.1418 1.2365 3.8021
Se 0.0000 -2.5330 9.2039
Se -2.1936 1.2665 9.2039
Se -2.1936 -1.2665 13.6088
Se 0.0000 0.0000 5.9628
Se 0.0000 0.0000 16.8499
Se 2.1936 1.2665 9.2039
Se 2.1936 -1.2665 13.6088
Se 0.0000 2.5330 13.6088
```



The following is a DFT calculation (PBE) of crystalline CrInSi at its relaxed geometry.

Computed properties:
ΔE to the lowest computed polymorph = 57.6 kJ/mol of formula units
E_form (uncorrected) = 0.37 eV per atom

```
3
Lattice="0.0000 3.0828 3.0828 3.0828 0.0000 3.0828 3.0828 3.0828 0.0000" Properties=species:S:1:pos:R:3 pbc="T T T"
Cr 0.0000 0.0000 0.0000
In 4.6243 4.6243 4.6243
Si 1.5414 1.5414 1.5414
```



The following is a DFT calculation (PBE) of crystalline Tb2DyHoSe4 at its relaxed geometry.

Computed properties:
E_form (uncorrected) = -1.75 eV per atom

```
8
Lattice="7.0946 0.0000 0.0000 0.0000 4.0304 0.0000 -2.2938 0.0000 6.7171" Properties=species:S:1:pos:R:3 pbc="T T T"
Tb 0.0000 0.0000 0.0000
Tb -1.1469 2.0152 3.3585
Dy 2.4004 0.0000 3.3585
Ho 3.5473 2.0152 0.0000
Se 0.0722 0.0000 5.0511
Se 1.2189 2.0152 1.6793
Se 4.7286 0.0000 1.6660
Se 3.5819 2.0152 5.0378
```



The following is a DFT calculation (PBE) of crystalline Y2TmPu at its relaxed geometry.

Computed properties:
formation enthalpy at 0 K = 0.15 eV/atom
ΔE to the lowest computed polymorph = 21.1 kJ/mol of formula units

```
4
Lattice="4.9614 0.0000 0.0000 0.0000 4.9614 0.0000 0.0000 0.0000 4.9783" Properties=species:S:1:pos:R:3 pbc="T T T"
Y 0.0000 2.4807 0.0000
Y 2.4807 0.0000 0.0000
Tm 0.0000 0.0000 2.4891
Pu 2.4807 2.4807 2.4891
```



The following is a DFT calculation (PBE) of crystalline MnTe2W at its relaxed geometry.

Computed properties:
ΔE to the lowest computed polymorph = 65.0 kJ/mol of formula units
E_form (uncorrected) = 0.25 eV per atom

```
4
Lattice="4.0374 -1.7577 0.0000 4.0374 1.7577 0.0000 -1.3720 0.0000 7.0893" Properties=species:S:1:pos:R:3 pbc="T T T"
Mn 0.0000 0.0000 0.0000
Te 0.9140 0.0000 5.6534
Te 3.2950 0.0000 2.1825
W 5.6632 0.0000 0.6335
```



The following is a DFT calculation (PBE) of crystalline SrCdAu2 at its relaxed geometry.

Computed properties:
formation enthalpy at 0 K = -0.39 eV/atom

```
4
Lattice="0.0000 3.6317 3.6317 3.6317 0.0000 3.6317 3.6317 3.6317 0.0000" Properties=species:S:1:pos:R:3 pbc="T T T"
Sr 0.0000 0.0000 0.0000
Cd 1.8158 1.8158 1.8158
Au 3.6317 3.6317 3.6317
Au 5.4475 5.4475 5.4475
```



The following is a DFT calculation (PBE) of crystalline HoPu2NpS4 at its relaxed geometry.

Computed properties:
E_form (uncorrected) = -1.73 eV per atom

```
8
Lattice="6.7850 0.0000 0.0000 0.0000 3.9253 0.0000 -2.2638 0.0000 6.4276" Properties=species:S:1:pos:R:3 pbc="T T T"
Ho 0.0000 0.0000 0.0000
Pu -1.1319 1.9627 3.2138
Pu 2.2606 0.0000 3.2138
Np 3.3925 1.9627 0.0000
S 1.1266 1.9627 1.5873
S 0.0023 0.0000 4.8365
S 4.5189 0.0000 1.5911
S 3.3946 1.9627 4.8403
```



The following is a DFT calculation (PBE) of crystalline FePt2Rh at its relaxed geometry.

Computed properties:
formation enthalpy at 0 K = -0.16 eV/atom

```
4
Lattice="-1.9336 1.9336 3.9045 1.9336 -1.9336 3.9045 1.9336 1.9336 -3.9045" Properties=species:S:1:pos:R:3 pbc="T T T"
Fe 0.0000 0.0000 0.0000
Pt 1.9336 0.0000 1.9522
Pt 0.0000 1.9336 1.9522
Rh 0.0000 0.0000 3.9045
```



The following is a DFT calculation (PBE) of crystalline Ce6ThIn5 at its relaxed geometry.

Computed properties:
formation enthalpy at 0 K = -0.27 eV/atom

```
12
Lattice="2.3679 -7.0953 0.0000 2.3679 7.0953 0.0000 0.0000 0.0000 9.7657" Properties=species:S:1:pos:R:3 pbc="T T T"
Ce 0.0000 0.0000 2.4096
Ce 0.0000 0.0000 7.3561
Ce 2.3679 2.3556 2.5027
Ce 2.3679 2.3556 7.2630
Ce 2.3679 -2.3556 2.5027
Ce 2.3679 -2.3556 7.2630
Th 2.3679 0.0000 0.0000
In 2.3679 4.7284 4.8828
In 2.3679 4.6562 0.0000
In 2.3679 0.0000 4.8828
In 2.3679 -4.6562 0.0000
In 2.3679 -4.7284 4.8828
```



The following is a DFT calculation (PBE) of crystalline Ac12Cd3Os5 at its relaxed geometry.

Computed properties:
formation enthalpy at 0 K = 0.15 eV/atom

```
80
Lattice="-9.2113 9.2113 9.2113 9.2113 -9.2113 9.2113 9.2113 9.2113 -9.2113" Properties=species:S:1:pos:R:3 pbc="T T T"
Ac 2.7297 -0.5811 1.0213
Ac 11.0873 5.6270 -5.1867
Ac 11.9411 0.5811 1.0213
Ac 11.0873 -3.5844 5.1867
Ac 8.6303 -1.0213 2.7297
Ac 14.3981 -1.8760 3.5844
Ac 1.0213 2.7297 -0.5811
Ac 12.7957 4.0246 -1.8760
Ac 5.6270 5.1867 -1.8760
Ac 8.1901 2.7297 0.5811
Ac -0.5811 1.0213 2.7297
Ac 5.1867 -1.8760 5.6270
Ac 8.6303 8.1901 -2.7297
Ac 5.1867 1.8760 3.5844
Ac 5.6270 -5.1867 11.0873
Ac 8.1901 -2.7297 8.6303
Ac 3.5844 5.1867 1.8760
Ac 10.2326 6.4816 0.5811
Ac 5.1867 11.0873 -3.5844
Ac 8.6303 1.0213 6.4816
Ac 2.7297 8.6303 -1.0213
Ac 11.0873 3.5844 4.0246
Ac 1.8760 3.5844 5.1867
Ac 2.7297 0.5811 8.1901
Ac 6.4816 8.6303 1.0213
Ac 7.3354 5.6270 4.0246
Ac -1.8760 5.6270 5.1867
Ac 6.4816 0.5811 10.2326
Ac 0.5811 8.1901 2.7297
Ac 4.0246 -1.8760 12.7957
Ac -1.0213 2.7297 8.6303
Ac 5.6270 4.0246 7.3354
Ac 1.0213 11.9411 0.5811
Ac 3.5844 14.3981 -1.8760
Ac 4.0246 7.3354 5.6270
Ac 0.5811 1.0213 11.9411
Ac 4.0246 11.0873 3.5844
Ac 9.7924 8.1901 6.4816
Ac 1.0213 6.4816 8.6303
Ac 3.5844 4.0246 11.0873
Ac -3.5844 5.1867 11.0873
Ac 8.1901 6.4816 9.7924
Ac -5.1867 11.0873 5.6270
Ac 0.5811 10.2326 6.4816
Ac -1.8760 12.7957 4.0246
Ac -2.7297 8.6303 8.1901
Ac -1.8760 3.5844 14.3981
Ac 6.4816 9.7924 8.1901
Cd 4.6057 2.3028 0.0000
Cd 9.2113 4.6057 -2.3028
Cd 2.3028 0.0000 4.6057
Cd 11.5142 0.0000 4.6057
Cd 0.0000 4.6057 2.3028
Cd 4.6057 -2.3028 9.2113
Cd 4.6057 11.5142 0.0000
Cd 9.2113 4.6057 6.9085
Cd -2.3028 9.2113 4.6057
Cd 6.9085 9.2113 4.6057
Cd 0.0000 4.6057 11.5142
Cd 4.6057 6.9085 9.2113
Os 0.0000 0.0000 0.0000
Os 4.6057 4.6057 -4.6057
Os 4.6057 -4.6057 4.6057
Os 9.2113 0.0000 0.0000
Os 13.8170 2.3028 0.0000
Os 9.2113 -4.6057 6.9085
Os 6.9085 9.2113 -4.6057
Os 6.9085 0.0000 4.6057
Os 4.6057 6.9085 0.0000
Os 9.2113 4.6057 2.3028
Os -4.6057 4.6057 4.6057
Os 0.0000 9.2113 0.0000
Os 0.0000 0.0000 9.2113
Os 4.6057 4.6057 4.6057
Os 0.0000 4.6057 6.9085
Os 4.6057 2.3028 9.2113
Os 2.3028 9.2113 4.6057
Os 2.3028 0.0000 13.8170
Os 0.0000 13.8170 2.3028
Os -4.6057 6.9085 9.2113
```



The following is a DFT calculation (PBE) of crystalline TlZn2Re at its relaxed geometry.

Computed properties:
formation enthalpy at 0 K = 0.82 eV/atom
ΔE to the lowest computed polymorph = 135.9 kJ/mol of formula units

```
4
Lattice="0.0000 3.2290 3.2290 3.2290 0.0000 3.2290 3.2290 3.2290 0.0000" Properties=species:S:1:pos:R:3 pbc="T T T"
Tl 0.0000 0.0000 0.0000
Zn 1.6145 1.6145 1.6145
Zn 4.8435 4.8435 4.8435
Re 3.2290 3.2290 3.2290
```



The following is a DFT calculation (PBE) of crystalline DyPa2CrN4 at its relaxed geometry.

Computed properties:
E_form (uncorrected) = -1.28 eV per atom

```
16
Lattice="1.6578 -5.8178 0.0000 1.6578 5.8178 0.0000 0.0000 0.0000 11.5269" Properties=species:S:1:pos:R:3 pbc="T T T"
Dy 1.6578 4.5371 8.6452
Dy 1.6578 -4.5371 2.8817
Pa 1.6578 1.5509 6.4066
Pa 1.6578 1.5509 10.8838
Pa 1.6578 -1.5509 0.6431
Pa 1.6578 -1.5509 5.1203
Cr 1.6578 4.0242 2.8817
Cr 1.6578 -4.0242 8.6452
N 0.0000 0.0000 0.0000
N 0.0000 0.0000 5.7635
N 1.6578 2.6155 1.4462
N 1.6578 2.6155 4.3172
N 1.6578 0.5493 8.6452
N 1.6578 -0.5493 2.8817
N 1.6578 -2.6155 7.2097
N 1.6578 -2.6155 10.0807
```



Record-wise total DFT energy (no corrections) values, in eV/atom: -3.517 -4.607 -4.217 -3.297 -2.042 -2.302 -5.363 -4.276 -5.097 -5.555 -5.799 -7.782 -6.850 -2.680 -9.564 -7.129 -4.992 -5.264 -3.516 -9.598